one) {
  "formula": "Sc2BeCl",
  "functional": "PBE",
  "state": "relaxed",
  "crystal_system": "orthorhombic",
  "space_group": "Amm2",
  "magnetic_moment_mub_per_fu": 0.136,
  "dos_ef_per_ev_atom": 1.063,
  "lattice": [[-3.2682, 3.8396, 1.7592], [-4.4038, 2.8242, -1.0718], [-2.4097, -2.9795, 2.0351]],
  "species": ["Sc", "Sc", "Be", "Cl"],
  "frac_coords": [[0.9928, 0.9928, 0.8747], [0.2596, 0.2596, 0.3752], [0.5100, 0.5100, 0.3748], [0.7376, 0.7376, 0.8753]]
}


two) {
  "formula": "Sc2BeCl",
  "functional": "PBE",
  "state": "relaxed",
  "crystal_system": "trigonal",
  "space_group": "R-3m",
  "magnetic_moment_mub_per_fu": 0.720,
  "dos_ef_per_ev_atom": 1.031,
  "lattice": [[1.8151, 0.0000, 9.5950], [-0.9076, 1.5720, 9.5950], [-0.9076, -1.5720, 9.5950]],
  "species": ["Sc", "Sc", "Be", "Cl"],
  "frac_coords": [[0.9059, 0.9059, 0.9059], [0.0941, 0.0941, 0.0941], [0.0000, 0.0000, 0.0000], [0.5000, 0.5000, 0.5000]]
}


three) {
  "formula": "Sc2BeCl",
  "functional": "PBE",
  "state": "relaxed",
  "crystal_system": "cubic",
  "space_group": "Fm-3m",
  "magnetic_moment_mub_per_fu": 0.000,
  "dos_ef_per_ev_atom": 1.012,
  "lattice": [[3.2293, -3.3597, 0.1871], [-0.2893, -3.3342, 3.2482], [-1.1000, -4.3627, -1.2280]],
  "species": ["Sc", "Sc", "Be", "Cl"],
  "frac_coords": [[0.2500, 0.2500, 0.2500], [0.7500, 0.7500, 0.7500], [0.0000, 0.0000, 0.0000], [0.5000, 0.5000, 0.5000]]
}


Here are the energies relative to the best structure, in eV/atom: one) 0.000; two) 0.517; three) 0.248.


one) {
  "formula": "Sc2BeCl",
  "functional": "PBE",
  "state": "relaxed",
  "crystal_system": "trigonal",
  "space_group": "R-3m",
  "magnetic_moment_mub_per_fu": 0.000,
  "dos_ef_per_ev_atom": 0.519,
  "lattice": [[3.5338, -0.0031, -0.0012], [1.7718, 3.0575, -0.0012], [1.7703, 1.0192, 6.8325]],
  "species": ["Sc", "Sc", "Be", "Cl"],
  "frac_coords": [[0.9910, 0.9910, 0.0271], [0.5090, 0.5090, 0.4729], [0.2500, 0.2500, 0.2500], [0.7500, 0.7500, 0.7500]]
}


two) {
  "formula": "Sc2BeCl",
  "functional": "PBE",
  "state": "relaxed",
  "crystal_system": "tetragonal",
  "space_group": "I-42d",
  "magnetic_moment_mub_per_fu": 0.000,
  "dos_ef_per_ev_atom": 1.077,
  "lattice": [[5.6310, 0.0000, 0.0000], [0.0000, 5.6310, 0.0000], [2.8155, 2.8155, 6.0649]],
  "species": ["Sc", "Sc", "Sc", "Sc", "Be", "Be", "Cl", "Cl"],
  "frac_coords": [[0.6014, 0.1250, 0.2500], [0.1486, 0.6250, 0.2500], [0.3750, 0.3986, 0.7500], [0.8750, 0.8514, 0.7500], [0.5000, 0.5000, 0.0000], [0.2500, 0.7500, 0.5000], [0.0000, 0.0000, 0.0000], [0.7500, 0.2500, 0.5000]]
}


Here are the energies relative to the best structure, in eV/atom: one) 0.000; two) 0.541.


one) {
  "formula": "ScBe2Cl",
  "functional": "PBE",
  "state": "relaxed",
  "crystal_system": "tetragonal",
  "space_group": "P4/mmm",
  "magnetic_moment_mub_per_fu": 0.250,
  "dos_ef_per_ev_atom": 0.876,
  "lattice": [[3.0636, 0.0000, 0.0000], [0.0000, 3.0636, 0.0000], [0.0000, 0.0000, 6.9331]],
  "species": ["Sc", "Be", "Be", "Cl"],
  "frac_coords": [[0.5000, 0.5000, 0.7500], [0.0000, 0.0000, 0.0006], [0.0000, 0.0000, 0.4994], [0.5000, 0.5000, 0.2500]]
}


two) {
  "formula": "ScBe2Cl",
  "functional": "PBE",
  "state": "relaxed",
  "crystal_system": "monoclinic",
  "space_group": "Pm",
  "magnetic_moment_mub_per_fu": 0.000,
  "dos_ef_per_ev_atom": 0.286,
  "lattice": [[-1.7340, -2.5082, 2.5216], [-1.3449, -1.4369, -2.3541], [4.4953, -3.5471, -0.4369]],
  "species": ["Sc", "Be", "Be", "Cl"],
  "frac_coords": [[0.5000, 0.7513, 0.7850], [0.0000, 0.2495, 0.0326], [0.5000, 0.2481, 0.1235], [0.0000, 0.2511, 0.5589]]
}


three) {
  "formula": "ScBe2Cl",
  "functional": "PBE",
  "state": "relaxed",
  "crystal_system": "orthorhombic",
  "space_group": "Imm2",
  "magnetic_moment_mub_per_fu": 0.000,
  "dos_ef_per_ev_atom": 0.452,
  "lattice": [[-2.9327, -2.1523, -3.3737], [2.3926, -0.7179, -4.2867], [0.3113, -1.1829, 4.8082]],
  "species": ["Sc", "Be", "Be", "Cl"],
  "frac_coords": [[0.2425, 0.7425, 0.5000], [0.9813, 0.9813, 0.0000], [0.7811, 0.2811, 0.5000], [0.4951, 0.4951, 0.0000]]
}


four) {
  "formula": "ScBe2Cl",
  "functional": "PBE",
  "state": "relaxed",
  "crystal_system": "orthorhombic",
  "space_group": "Cmmm",
  "magnetic_moment_mub_per_fu": 0.000,
  "dos_ef_per_ev_atom": 0.670,
  "lattice": [[-0.0161, -0.4505, -4.8174], [0.4407, -3.9538, 2.7539], [-3.1482, -0.3226, 0.0407]],
  "species": ["Sc", "Be", "Be", "Cl"],
  "frac_coords": [[0.0000, 0.5000, 0.5000], [0.0000, 0.0000, 0.0000], [0.5000, 0.5000, 0.0000], [0.5000, 0.0000, 0.5000]]
}


Here are the energies relative to the best structure, in eV/atom: one) 0.341; two) 0.000; three) 0.184; four) 0.192.


one) {
  "formula": "ScBe2Cl",
  "functional": "PBE",
  "state": "relaxed",
  "crystal_system": "monoclinic",
  "space_group": "P2/m",
  "magnetic_moment_mub_per_fu": 0.001,
  "dos_ef_per_ev_atom": 0.366,
  "lattice": [[5.5048, 0.0000, 0.0000], [0.0000, 2.9345, 0.0038], [0.0000, 0.0694, 4.0262]],
  "species": ["Sc", "Be", "Be", "Cl"],
  "frac_coords": [[0.5000, 0.7500, 0.7500], [0.0000, 0.0061, 0.9609], [0.0000, 0.4939, 0.5391], [0.5000, 0.2500, 0.2500]]
}


two) {
  "formula": "ScBe2Cl",
  "functional": "PBE",
  "state": "relaxed",
  "crystal_system": "tetragonal",
  "space_group": "I-42d",
  "magnetic_moment_mub_per_fu": 0.000,
  "dos_ef_per_ev_atom": 0.784,
  "lattice": [[7.3169, 0.0000, 0.0000], [0.0000, 7.3169, 0.0000], [3.6584, 3.6584, 2.4104]],
  "species": ["Sc", "Sc", "Be", "Be", "Be", "Be", "Cl", "Cl"],
  "frac_coords": [[0.0000, 0.0000, 0.0000], [0.7500, 0.2500, 0.5000], [0.5998, 0.1250, 0.2500], [0.1502, 0.6250, 0.2500], [0.3750, 0.4002, 0.7500], [0.8750, 0.8498, 0.7500], [0.5000, 0.5000, 0.0000], [0.2500, 0.7500, 0.5000]]
}


Here are the energies relative to the best structure, in eV/atom: one) 0.000; two) 0.145.